Record 1
{
  "formula": "CsPu2Ag2S6",
  "functional": "PBE",
  "state": "relaxed",
  "m_tot_mub_per_atom": 0.64,
  "formation_energy_uncorrected_ev_per_atom": -0.899,
  "cell": [[-0.820, 7.213, 0.454], [-2.317, 4.041, -6.682], [-4.526, -1.047, 6.621]],
  "species": ["S", "Pu", "S", "S", "Cs", "S", "S", "Ag", "S", "Pu", "Ag"],
  "frac_coords": [[0.996, 0.578, 0.853], [0.834, 0.337, 0.834], [0.157, 0.850, 0.571], [0.581, 0.261, 0.981], [0.500, 0.000, 0.500], [0.843, 0.150, 0.429], [0.004, 0.422, 0.147], [0.186, 0.735, 0.791], [0.419, 0.739, 0.019], [0.166, 0.663, 0.166], [0.814, 0.265, 0.209]]
}

=====

Record 2
{
  "formula": "Li2Ga4Ag",
  "functional": "PBE",
  "state": "relaxed",
  "m_tot_mub_per_atom": 0.00,
  "delta_e_f_ev_per_atom": -0.10,
  "cell": [[9.104, 0.000, 0.000], [0.000, 4.929, -2.281], [0.000, -0.231, 5.968]],
  "species": ["Ga", "Ga", "Li", "Ga", "Ga", "Ag", "Li", "Ga", "Ga", "Ag", "Ga", "Li", "Ga", "Li"],
  "frac_coords": [[0.750, 0.749, 0.000], [0.250, 0.002, 0.500], [0.000, 0.635, 0.270], [0.750, 0.498, 0.500], [0.750, 0.249, 0.000], [0.500, 0.500, 0.000], [0.500, 0.865, 0.730], [0.750, 0.998, 0.500], [0.250, 0.502, 0.500], [0.000, 0.000, 0.000], [0.250, 0.751, 0.000], [0.500, 0.135, 0.270], [0.250, 0.251, 0.000], [0.000, 0.365, 0.730]]
}

=====

Record 3
{
  "formula": "BaNdCdGe",
  "functional": "PBE",
  "state": "relaxed",
  "m_tot_mub_per_atom": 0.00,
  "delta_e_f_ev_per_atom": -0.33,
  "cell": [[-2.230, -3.617, 3.599], [-2.394, -4.669, -1.867], [2.447, -4.926, 0.875]],
  "species": ["Ba", "Ge", "Cd", "Nd"],
  "frac_coords": [[0.750, 0.750, 0.750], [0.000, 0.000, 0.000], [0.500, 0.500, 0.500], [0.250, 0.250, 0.250]]
}

=====

Record 4
{
  "formula": "Tb4Pr2SmEr",
  "functional": "PBE",
  "state": "relaxed",
  "m_tot_mub_per_atom": 0.00,
  "delta_e_f_ev_per_atom": 0.02,
  "cell": [[5.108, 0.000, 0.000], [0.000, 5.010, 0.894], [0.000, 3.235, 10.893]],
  "species": ["Tb", "Tb", "Sm", "Er", "Tb", "Pr", "Pr", "Tb"],
  "frac_coords": [[0.000, 0.248, 0.252], [0.000, 0.752, 0.748], [0.500, 0.500, 0.000], [0.000, 0.500, 0.500], [0.500, 0.748, 0.252], [0.500, 0.000, 0.500], [0.000, 0.000, 0.000], [0.500, 0.252, 0.748]]
}

=====

Record 5
{
  "formula": "SrTe2Cl",
  "functional": "PBE",
  "state": "relaxed",
  "m_tot_mub_per_atom": 0.00,
  "formation_energy_uncorrected_ev_per_atom": -1.243,
  "cell": [[4.361, 0.000, 0.000], [0.000, 4.358, -0.165], [0.000, 0.284, 6.872]],
  "species": ["Te", "Sr", "Te", "Cl"],
  "frac_coords": [[0.000, 0.876, 0.154], [0.500, 0.874, 0.549], [0.500, 0.376, 0.154], [0.000, 0.373, 0.644]]
}

=====

Record 6
{
  "formula": "Li4PmIn4",
  "functional": "PBE",
  "state": "relaxed",
  "m_tot_mub_per_atom": 0.00,
  "delta_e_f_ev_per_atom": -0.22,
  "cell": [[4.272, 0.000, 1.447], [2.136, 6.738, 0.723], [-0.025, 0.000, 7.105]],
  "species": ["In", "In", "Li", "Li", "In", "Li", "In", "Li", "Pm"],
  "frac_coords": [[0.679, 0.000, 0.642], [0.321, 0.358, 0.000], [0.000, 0.341, 0.659], [0.341, 0.659, 0.659], [0.321, 0.000, 0.358], [0.659, 0.341, 0.341], [0.679, 0.642, 0.000], [0.000, 0.659, 0.341], [0.000, 0.000, 0.000]]
}

=====

Record 7
{
  "formula": "KCaCl2",
  "functional": "PBE",
  "state": "relaxed",
  "m_tot_mub_per_atom": 0.00,
  "formation_energy_uncorrected_ev_per_atom": -1.729,
  "cell": [[-7.162, 6.619, -6.028], [-9.919, 4.213, -3.915], [-8.280, 7.651, -2.086]],
  "species": ["Ca", "Cl", "K", "Cl"],
  "frac_coords": [[0.668, 0.668, 0.668], [0.042, 0.042, 0.042], [0.497, 0.497, 0.497], [0.294, 0.294, 0.294]]
}